Record 1
Crystalline P2RhSe at its relaxed geometry. Source: Alexandria, functional PBE-GGA.

- space group = No. 123

Lattice parameters (Å, degrees): 2.757 2.757 10.003 90.00 90.00 89.98
Positions (direct):
Se  0.500  0.500  0.750
Rh  0.500  0.500  0.250
P  0.000  0.000  0.413
P  0.000  0.000  0.087

Record 2
Crystalline P2RhSe at its relaxed geometry. Source: Alexandria, functional PBE-GGA.

- space group = No. 139

Lattice parameters (Å, degrees): 4.352 4.352 4.350 70.62 70.62 109.61
Positions (direct):
Rh  0.500  0.000  0.500
P  0.000  0.000  0.000
P  0.500  0.500  0.000
Se  0.000  0.500  0.500

Record 3
Crystalline PRhSe2 at its relaxed geometry. Source: Alexandria, functional PBE-GGA.

- space group = No. 71

Lattice parameters (Å, degrees): 6.529 6.529 6.529 147.73 146.57 47.14
Positions (direct):
P  0.000  0.500  0.500
Rh  0.500  0.000  0.500
Se  0.650  0.650  0.000
Se  0.350  0.350  0.000

Record 4
Crystalline PRhSe2 at its relaxed geometry. Source: Alexandria, functional PBE-GGA.

- space group = No. 44

Lattice parameters (Å, degrees): 6.068 6.068 6.068 148.31 138.84 52.86
Positions (direct):
Rh  0.750  0.250  0.500
Se  0.226  0.726  0.500
Se  0.934  0.934  0.000
P  0.590  0.590  0.000

Record 5
Crystalline P2RhSe at its relaxed geometry. Source: Alexandria, functional PBE-GGA.

- space group = No. 123

Lattice parameters (Å, degrees): 3.317 3.320 5.819 90.00 90.00 90.00
Positions (direct):
Se  0.500  0.500  0.750
P  0.000  0.000  0.054
P  0.000  0.000  0.446
Rh  0.500  0.500  0.250

Record 6
Crystalline PRhSe2 at its relaxed geometry. Source: Alexandria, functional PBE-GGA.

- space group = No. 160

Lattice parameters (Å, degrees): 7.999 7.999 7.999 24.50 24.50 24.50
Positions (direct):
Se  0.974  0.974  0.974
Se  0.772  0.772  0.772
P  0.508  0.508  0.508
Rh  0.245  0.245  0.245

Number 1: theoretical density 5323 kg/m³, uncorrected formation energy 2.95 kcal/mol of atoms. Number 2: theoretical density 6379 kg/m³, uncorrected formation energy -0.62 kcal/mol of atoms. Number 3: theoretical density 5941 kg/m³, uncorrected formation energy -0.27 kcal/mol of atoms. Number 4: theoretical density 6309 kg/m³, uncorrected formation energy 3.01 kcal/mol of atoms. Number 5: theoretical density 6318 kg/m³, uncorrected formation energy 4.57 kcal/mol of atoms. Number 6: theoretical density 6260 kg/m³, uncorrected formation energy -0.90 kcal/mol of atoms.